Record 1
This record from the Alexandria database describes a relaxed NaAs3Os crystal. The functional is PBE.

The structure belongs to space group Pm-3m (No. 221); the cell edges are 4.9012, 4.9012 and 4.9012 Å and the angles 90.00°, 90.00° and 90.00°. The distinct sites, in fractional coordinates, are Na at (0.0000, 0.0000, 0.0000), As at (0.0000, 0.5000, 0.5000) and Os at (0.5000, 0.5000, 0.5000).

As for the energy relative to the lowest polymorph listed for this composition: 0.000 eV per atom. Its crystal system is cubic.

---

Record 2
This record from the Alexandria database describes a relaxed NaAsOs crystal. The functional is PBE.

The structure belongs to space group P-1 (No. 2); the cell edges are 4.0288, 5.1039 and 6.6793 Å and the angles 86.85°, 72.67° and 66.81°. The distinct sites, in fractional coordinates, are Na at (0.2113, 0.2204, 0.3594), As at (0.4412, 0.3538, 0.7607) and Os at (0.1074, 0.7512, 0.0350).

Its crystal system is triclinic.

---

no.,total moment (μB per formula unit),energy relative to the elements (eV per atom)
1,0.00,0.4471
2,0.00,0.0082